Density functional theory data (GGA-PBE) for a relaxed LiAgSnIr crystal.

Cell lengths 4.5449, 4.5449, 4.5449 Å; angles 60.00, 60.00, 60.00 degrees
Closest atoms and distances in Å follow each position.
Fractional positions:
Ir 0.0000 0.0000 0.0000  4 Sn 2.78, 4 Ag 2.78
Sn 0.2500 0.2500 0.2500  4 Li 2.78, 4 Ir 2.78
Ag 0.7500 0.7500 0.7500  4 Li 2.78, 4 Ir 2.78
Li 0.5000 0.5000 0.5000  4 Ag 2.78, 4 Sn 2.78

Output
DFT formation energy ... -0.209 eV per atom
V ... 16.60 Å³ per atom
Raw total energy ... -18.47 eV per cell
D(E_F) ... 0.42 states/eV per atom
Space group ... No. 216
Crystal system ... cubic



Density functional theory data (GGA-PBE) for a relaxed MgCd3In6 crystal.

Cell lengths 3.2399, 11.0059, 16.2822 Å; angles 119.22, 90.00, 90.00 degrees
Closest atoms and distances in Å follow each position.
Fractional positions:
Mg 0.7500 0.1288 0.7464  3 Cd 3.08-3.37, 6 In 3.17-3.27, 2 Mg 3.24
Mg 0.2500 0.8712 0.2536  3 Cd 3.08-3.37, 6 In 3.17-3.27, 2 Mg 3.24
Cd 0.7500 0.4782 0.8404  6 Cd 3.07-3.24, 3 In 3.14-3.20, 1 Mg 3.37
Cd 0.2500 0.5218 0.1596  6 Cd 3.07-3.24, 3 In 3.14-3.20, 1 Mg 3.37
Cd 0.7500 0.7348 0.3482  2 Mg 3.08, 5 Cd 3.24-3.36, 5 In 3.26-3.37
Cd 0.2500 0.2652 0.6518  2 Mg 3.08, 5 Cd 3.24-3.36, 5 In 3.26-3.37
Cd 0.7500 0.3870 0.2540  5 In 3.05-3.26, 5 Cd 3.07-3.36
Cd 0.2500 0.6130 0.7460  5 In 3.05-3.26, 5 Cd 3.07-3.36
In 0.7500 0.4169 0.5512  8 In 3.24-3.43, 4 Cd 3.26-3.28
In 0.2500 0.5831 0.4488  8 In 3.24-3.43, 4 Cd 3.26-3.28
In 0.7500 0.0116 0.1549  8 In 3.14-3.34, 2 Mg 3.17
In 0.2500 0.9884 0.8451  8 In 3.14-3.34, 2 Mg 3.17
In 0.7500 0.1785 0.0440  1 Cd 3.05, 7 In 3.14-3.36
In 0.2500 0.8215 0.9560  1 Cd 3.05, 7 In 3.14-3.36
In 0.7500 0.6656 0.0600  3 Cd 3.14-3.20, 5 In 3.24-3.36, 2 Mg 3.27
In 0.2500 0.3344 0.9400  3 Cd 3.14-3.20, 5 In 3.24-3.36, 2 Mg 3.27
In 0.7500 0.0737 0.4463  7 In 3.24-3.34, 2 Mg 3.26, 3 Cd 3.26-3.37
In 0.2500 0.9263 0.5537  7 In 3.24-3.34, 2 Mg 3.26, 3 Cd 3.26-3.37
In 0.7500 0.7675 0.6546  2 Cd 3.19, 9 In 3.24-3.37, 1 Mg 3.50
In 0.2500 0.2325 0.3454  2 Cd 3.19, 9 In 3.24-3.37, 1 Mg 3.50

Output
DFT formation energy ... 0.004 eV per atom
V ... 25.33 Å³ per atom
Raw total energy ... -41.47 eV per cell
D(E_F) ... 0.35 states/eV per atom
Space group ... No. 11
Crystal system ... monoclinic



Density functional theory data (GGA-PBE) for a relaxed K2AsO2 crystal.

Cell lengths 8.0174, 8.0174, 2.8534 Å; angles 90.00, 90.00, 90.00 degrees
Closest atoms and distances in Å follow each position.
Fractional positions:
As 0.0000 0.0000 0.0000  2 As 2.85, 4 K 3.14
As 0.5000 0.5000 0.0000  2 As 2.85, 4 K 3.14
K 0.3698 0.8698 0.0000  6 O 2.65-2.84, 3 K 2.85-2.95
K 0.8698 0.6302 0.0000  6 O 2.65-2.84, 3 K 2.85-2.95
K 0.6302 0.1302 0.0000  6 O 2.65-2.84, 3 K 2.85-2.95
K 0.1302 0.3698 0.0000  6 O 2.65-2.84, 3 K 2.85-2.95
O 0.1734 0.6734 0.5000  6 K 2.65-2.84, 2 O 2.85
O 0.6734 0.8266 0.5000  6 K 2.65-2.84, 2 O 2.85
O 0.8266 0.3266 0.5000  6 K 2.65-2.84, 2 O 2.85
O 0.3266 0.1734 0.5000  6 K 2.65-2.84, 2 O 2.85

Output
V ... 18.34 Å³ per atom
Raw total energy ... -34.16 eV per cell
D(E_F) ... 0.29 states/eV per atom
Space group ... No. 127
Crystal system ... tetragonal
E_form (uncorrected) ... -31 kJ/mol of formula units



Density functional theory data (GGA-PBE) for a relaxed MgCd3F crystal.

Cell lengths 4.8656, 4.8656, 4.8656 Å; angles 90.00, 90.00, 90.00 degrees
Closest atoms and distances in Å follow each position.
Fractional positions:
Mg 0.5000 0.5000 0.5000  12 Cd 3.44
F 0.0000 0.0000 0.0000  6 Cd 2.43
Cd 0.0000 0.5000 0.0000  2 F 2.43
Cd 0.0000 0.0000 0.5000  2 F 2.43
Cd 0.5000 0.0000 0.0000  2 F 2.43

Output
V ... 23.04 Å³ per atom
Raw total energy ... -7.89 eV per cell
D(E_F) ... 0.42 states/eV per atom
Space group ... No. 221
Crystal system ... cubic
E_form (uncorrected) ... -162 kJ/mol of formula units



Density functional theory data (GGA-PBE) for a relaxed Nd2TmS2O2 crystal.

Cell lengths 4.2348, 4.2348, 8.0752 Å; angles 105.20, 105.20, 90.00 degrees
Closest atoms and distances in Å follow each position.
Fractional positions:
Nd 0.3668 0.3668 0.7337  5 S 2.84-3.07, 4 O 2.91
Nd 0.6332 0.6332 0.2663  5 S 2.84-3.07, 4 O 2.91
Tm 0.0000 0.0000 0.0000  4 O 2.12
S 0.1777 0.1777 0.3555  1 Tm 2.67, 1 Nd 2.84
S 0.8223 0.8223 0.6445  1 Tm 2.67, 1 Nd 2.84
O 0.0000 0.5000 0.0000  2 Tm 2.12
O 0.5000 0.0000 0.0000  2 Tm 2.12

Output
V ... 19.21 Å³ per atom
Raw total energy ... -49.76 eV per cell
D(E_F) ... 0.30 states/eV per atom
Space group ... No. 139
Crystal system ... tetragonal
E_form (uncorrected) ... -1696 kJ/mol of formula units



Density functional theory data (GGA-PBE) for a relaxed NiHg2N2 crystal.

Cell lengths 6.8500, 6.8500, 3.0862 Å; angles 90.00, 90.00, 90.00 degrees
Closest atoms and distances in Å follow each position.
Fractional positions:
Ni 0.0000 0.0000 0.0000  4 Hg 2.61
Ni 0.5000 0.5000 0.0000  4 Hg 2.61
Hg 0.3518 0.8518 0.0000  6 N 2.38-2.64, 2 Ni 2.61
Hg 0.8518 0.6482 0.0000  6 N 2.38-2.64, 2 Ni 2.61
Hg 0.6482 0.1482 0.0000  6 N 2.38-2.64, 2 Ni 2.61
Hg 0.1482 0.3518 0.0000  6 N 2.38-2.64, 2 Ni 2.61
N 0.1644 0.6644 0.5000  6 Hg 2.38-2.64
N 0.6644 0.8356 0.5000  6 Hg 2.38-2.64
N 0.8356 0.3356 0.5000  6 Hg 2.38-2.64
N 0.3356 0.1644 0.5000  6 Hg 2.38-2.64

Output
V ... 14.48 Å³ per atom
Raw total energy ... -28.30 eV per cell
D(E_F) ... 0.70 states/eV per atom
Space group ... No. 127
Crystal system ... tetragonal
E_form (uncorrected) ... 857 kJ/mol of formula units



Density functional theory data (GGA-PBE) for a relaxed Eu2YBr crystal.

Cell lengths 3.6958, 3.6958, 10.0435 Å; angles 90.00, 90.00, 90.00 degrees
Closest atoms and distances in Å follow each position.
Fractional positions:
Eu 0.0000 0.0000 0.7764  4 Br 3.45, 4 Eu 3.70, 4 Y 3.81
Eu 0.0000 0.0000 0.2236  4 Br 3.45, 4 Eu 3.70, 4 Y 3.81
Y 0.5000 0.5000 0.5000  4 Y 3.70, 8 Eu 3.81
Br 0.5000 0.5000 0.0000  8 Eu 3.45, 4 Br 3.70

Output
V ... 34.30 Å³ per atom
Raw total energy ... -31.03 eV per cell
D(E_F) ... 0.93 states/eV per atom
Space group ... No. 123
Crystal system ... tetragonal
E_form (uncorrected) ... -227 kJ/mol of formula units



Density functional theory data (GGA-PBE) for a relaxed Ba2CoNi crystal.

Cell lengths 8.3398, 8.3398, 8.3398 Å; angles 30.41, 30.41, 30.41 degrees
Closest atoms and distances in Å follow each position.
Fractional positions:
Ba 0.0048 0.0048 0.0048  3 Ni 3.14, 3 Co 3.29
Ba 0.4952 0.4952 0.4952  3 Ni 3.14, 3 Co 3.29
Co 0.2500 0.2500 0.2500  6 Ba 3.29
Ni 0.7500 0.7500 0.7500  6 Ba 3.14

Output
DFT formation energy ... 0.630 eV per atom
V ... 32.94 Å³ per atom
Raw total energy ... -14.21 eV per cell
D(E_F) ... 1.20 states/eV per atom
Space group ... No. 166
Crystal system ... trigonal